Entry 1:
VASP calculation (SCAN) on a crystal of KFeCu relaxed with PBEsol.

Lattice parameters (Å, degrees): 6.419 6.419 6.419 150.94 150.94 41.56
Fractional coordinates of all 3 atoms:
1 K 0.000 0.000 0.000
2 Fe 0.727 0.727 0.000
3 Cu 0.284 0.284 0.000

Calculated values
ΔH_f (0 K): 0.67 eV per atom

***

Entry 2:
VASP calculation (SCAN) on a crystal of Pm2SiAu relaxed with PBEsol.

Lattice parameters (Å, degrees): 5.103 5.103 5.103 60.00 60.00 60.00
Fractional coordinates of all 4 atoms:
1 Pm 0.250 0.250 0.250
2 Pm 0.750 0.750 0.750
3 Si 0.000 0.000 0.000
4 Au 0.500 0.500 0.500

Calculated values
E_form (uncorrected): -755.1 meV/atom

***

Entry 3:
VASP calculation (SCAN) on a crystal of Cr2SiAu relaxed with PBEsol.

Lattice parameters (Å, degrees): 4.474 4.474 4.484 104.58 104.58 38.22
Fractional coordinates of all 4 atoms:
1 Cr 0.000 0.000 0.000
2 Cr 0.725 0.725 0.152
3 Si 0.250 0.250 0.713
4 Au 0.495 0.495 0.490

Calculated values
E_form (uncorrected): -60.3 meV/atom

***

Entry 4:
VASP calculation (SCAN) on a crystal of ZrIn4 relaxed with PBEsol.

Lattice parameters (Å, degrees): 5.620 5.620 5.620 97.71 97.71 137.02
Fractional coordinates of all 5 atoms:
1 Zr 0.000 0.000 0.000
2 In 0.202 0.390 0.592
3 In 0.390 0.798 0.188
4 In 0.610 0.202 0.812
5 In 0.798 0.610 0.408

Calculated values
ΔE to the lowest computed polymorph: 0.00 eV per formula unit
ΔH_f (0 K): -0.14 eV per atom

***

Entry 5:
VASP calculation (SCAN) on a crystal of Fe2ReRu relaxed with PBEsol.

Lattice parameters (Å, degrees): 4.163 4.163 4.163 60.00 60.00 60.00
Fractional coordinates of all 4 atoms:
1 Fe 0.000 0.000 0.000
2 Fe 0.250 0.250 0.250
3 Re 0.500 0.500 0.500
4 Ru 0.750 0.750 0.750

Calculated values
ΔH_f (0 K): 0.10 eV per atom

***

Entry 6:
VASP calculation (SCAN) on a crystal of Hf2AlCuO relaxed with PBEsol.

Lattice parameters (Å, degrees): 4.922 4.922 4.078 90.00 90.00 90.00
Fractional coordinates of all 5 atoms:
1 Hf 0.000 0.500 0.000
2 Hf 0.500 0.000 0.000
3 Al 0.000 0.000 0.000
4 Cu 0.000 0.000 0.500
5 O 0.500 0.500 0.500

Calculated values
E_form (uncorrected): 1006.2 meV/atom

***

Entry 7:
VASP calculation (SCAN) on a crystal of ErBiO3 relaxed with PBEsol.

Lattice parameters (Å, degrees): 6.011 6.011 6.011 59.02 59.02 59.02
Fractional coordinates of all 10 atoms:
1 Er 0.000 0.000 0.000
2 Er 0.500 0.500 0.500
3 Bi 0.283 0.283 0.283
4 Bi 0.783 0.783 0.783
5 O 0.135 0.354 0.689
6 O 0.189 0.854 0.635
7 O 0.354 0.689 0.135
8 O 0.635 0.189 0.854
9 O 0.689 0.135 0.354
10 O 0.854 0.635 0.189

Calculated values
E_form (uncorrected): -2522.8 meV/atom

***

Entry 8:
VASP calculation (SCAN) on a crystal of HgMo2AuN relaxed with PBEsol.

Lattice parameters (Å, degrees): 5.232 5.232 5.086 90.00 90.00 90.00
Fractional coordinates of all 5 atoms:
1 Hg 0.000 0.000 0.000
2 Mo 0.000 0.500 0.000
3 Mo 0.500 0.000 0.000
4 Au 0.000 0.000 0.500
5 N 0.500 0.500 0.500

Calculated values
E_form (uncorrected): 2880.1 meV/atom

***

Entry 9:
VASP calculation (SCAN) on a crystal of TaAg4P relaxed with PBEsol.

Lattice parameters (Å, degrees): 5.279 5.279 5.279 60.00 60.00 60.00
Fractional coordinates of all 6 atoms:
1 Ta 0.000 0.000 0.000
2 Ag 0.375 0.375 0.375
3 Ag 0.375 0.375 0.875
4 Ag 0.375 0.875 0.375
5 Ag 0.875 0.375 0.375
6 P 0.750 0.750 0.750

Calculated values
ΔH_f (0 K): 0.76 eV per atom

***

Entry 10:
VASP calculation (SCAN) on a crystal of Na5VO4 relaxed with PBEsol.

Lattice parameters (Å, degrees): 6.914 9.229 5.472 90.00 90.00 90.00
Fractional coordinates of all 20 atoms:
1 Na 0.003 0.082 0.228
2 Na 0.003 0.418 0.228
3 Na 0.250 0.250 0.712
4 Na 0.497 0.082 0.228
5 Na 0.497 0.418 0.228
6 Na 0.503 0.582 0.772
7 Na 0.503 0.918 0.772
8 Na 0.750 0.750 0.288
9 Na 0.997 0.582 0.772
10 Na 0.997 0.918 0.772
11 V 0.250 0.750 0.267
12 V 0.750 0.250 0.733
13 O 0.048 0.750 0.455
14 O 0.250 0.594 0.086
15 O 0.250 0.906 0.086
16 O 0.452 0.750 0.455
17 O 0.548 0.250 0.545
18 O 0.750 0.094 0.914
19 O 0.750 0.406 0.914
20 O 0.952 0.250 0.545

Calculated values
E_form (uncorrected): -1731.2 meV/atom

***

Entry 11:
VASP calculation (SCAN) on a crystal of CdAg2Cl relaxed with PBEsol.

Lattice parameters (Å, degrees): 6.432 6.432 6.432 151.53 139.92 49.90
Fractional coordinates of all 4 atoms:
1 Cd 0.000 0.000 0.000
2 Ag 0.454 0.454 0.000
3 Ag 0.657 0.157 0.500
4 Cl 0.251 0.751 0.500

Calculated values
ΔE to the lowest computed polymorph: 0.26 eV per formula unit
E_form (uncorrected): -148.4 meV/atom

***

Entry 12:
VASP calculation (SCAN) on a crystal of Tb2PdRh relaxed with PBEsol.

Lattice parameters (Å, degrees): 4.837 4.837 4.837 60.00 60.00 60.00
Fractional coordinates of all 4 atoms:
1 Tb 0.250 0.250 0.250
2 Tb 0.750 0.750 0.750
3 Pd 0.000 0.000 0.000
4 Rh 0.500 0.500 0.500

Calculated values
ΔH_f (0 K): -0.96 eV per atom

***

Entry 13:
VASP calculation (SCAN) on a crystal of AgC2 relaxed with PBEsol.

Lattice parameters (Å, degrees): 5.087 5.087 5.087 151.71 151.71 40.43
Fractional coordinates of all 3 atoms:
1 Ag 0.000 0.000 0.000
2 C 0.240 0.240 0.000
3 C 0.760 0.760 0.000

Calculated values
ΔE to the lowest computed polymorph: 0.00 eV per formula unit
ΔH_f (0 K): 2.31 eV per atom

***

Entry 14:
VASP calculation (SCAN) on a crystal of CaNbGa3 relaxed with PBEsol.

Lattice parameters (Å, degrees): 4.951 4.951 4.951 90.00 90.00 90.00
Fractional coordinates of all 5 atoms:
1 Ca 0.000 0.000 0.000
2 Nb 0.500 0.500 0.500
3 Ga 0.000 0.500 0.500
4 Ga 0.500 0.000 0.500
5 Ga 0.500 0.500 0.000

Calculated values
ΔH_f (0 K): -0.15 eV per atom

***

Entry 15:
VASP calculation (SCAN) on a crystal of Re2SiP relaxed with PBEsol.

Lattice parameters (Å, degrees): 4.182 4.182 4.919 101.04 101.04 39.62
Fractional coordinates of all 4 atoms:
1 Re 0.247 0.247 0.259
2 Re 0.753 0.753 0.741
3 Si 0.500 0.500 0.000
4 P 0.000 0.000 0.500

Calculated values
ΔE to the lowest computed polymorph: 0.00 eV per formula unit
E_form (uncorrected): 86.4 meV/atom

***

Entry 16:
VASP calculation (SCAN) on a crystal of RbBaN2 relaxed with PBEsol.

Lattice parameters (Å, degrees): 7.982 7.982 7.982 32.53 32.53 32.53
Fractional coordinates of all 4 atoms:
1 Rb 0.000 0.000 0.000
2 Ba 0.500 0.500 0.500
3 N 0.407 0.407 0.407
4 N 0.593 0.593 0.593

Calculated values
E_form (uncorrected): 1197.4 meV/atom

***

Entry 17:
VASP calculation (SCAN) on a crystal of Zn2PbBr relaxed with PBEsol.

Lattice parameters (Å, degrees): 5.796 5.796 5.520 118.43 118.43 33.64
Fractional coordinates of all 4 atoms:
1 Zn 0.000 0.000 0.000
2 Zn 0.700 0.700 0.197
3 Pb 0.464 0.464 0.464
4 Br 0.276 0.276 0.775

Calculated values
ΔE to the lowest computed polymorph: 0.34 eV per formula unit
E_form (uncorrected): 42.8 meV/atom

***

Entry 18:
VASP calculation (SCAN) on a crystal of Zn2ReCl relaxed with PBEsol.

Lattice parameters (Å, degrees): 5.119 5.119 4.739 104.70 104.70 31.06
Fractional coordinates of all 4 atoms:
1 Zn 0.000 0.000 0.000
2 Zn 0.202 0.202 0.647
3 Re 0.462 0.462 0.507
4 Cl 0.780 0.780 0.198

Calculated values
ΔE to the lowest computed polymorph: 0.62 eV per formula unit
E_form (uncorrected): 270.9 meV/atom

***

Entry 19:
VASP calculation (SCAN) on a crystal of BaNi2Mo relaxed with PBEsol.

Lattice parameters (Å, degrees): 4.673 4.673 4.673 60.00 60.00 60.00
Fractional coordinates of all 4 atoms:
1 Ba 0.000 0.000 0.000
2 Ni 0.250 0.250 0.250
3 Ni 0.750 0.750 0.750
4 Mo 0.500 0.500 0.500

Calculated values
ΔE to the lowest computed polymorph: 0.45 eV per formula unit
ΔH_f (0 K): 1.07 eV per atom

***

Entry 20:
VASP calculation (SCAN) on a crystal of SrMgW2 relaxed with PBEsol.

Lattice parameters (Å, degrees): 2.776 4.622 6.673 90.00 90.00 90.00
Fractional coordinates of all 4 atoms:
1 Sr 0.000 0.000 0.000
2 Mg 0.000 0.000 0.500
3 W 0.500 0.500 0.319
4 W 0.500 0.500 0.681

Calculated values
ΔH_f (0 K): 1.04 eV per atom

***

Entry 21:
VASP calculation (SCAN) on a crystal of CaCdOs2 relaxed with PBEsol.

Lattice parameters (Å, degrees): 5.568 5.568 2.748 102.53 102.53 118.96
Fractional coordinates of all 4 atoms:
1 Ca 0.000 0.000 0.000
2 Cd 0.500 0.500 0.000
3 Os 0.000 0.500 0.500
4 Os 0.500 0.000 0.500

Calculated values
ΔH_f (0 K): 0.66 eV per atom

***

Entry 22:
VASP calculation (SCAN) on a crystal of Zr2IrPb relaxed with PBEsol.

Lattice parameters (Å, degrees): 3.084 3.084 8.364 90.00 90.00 90.00
Fractional coordinates of all 4 atoms:
1 Zr 0.000 0.000 0.215
2 Zr 0.000 0.000 0.785
3 Ir 0.500 0.500 0.000
4 Pb 0.500 0.500 0.500

Calculated values
ΔH_f (0 K): -0.65 eV per atom

***

Entry 23:
VASP calculation (SCAN) on a crystal of Al2CoBr relaxed with PBEsol.

Lattice parameters (Å, degrees): 2.976 2.992 7.273 90.00 90.00 90.00
Fractional coordinates of all 4 atoms:
1 Al 0.000 0.000 0.186
2 Al 0.000 0.000 0.814
3 Co 0.500 0.500 0.000
4 Br 0.000 0.500 0.500

Calculated values
ΔE to the lowest computed polymorph: 0.00 eV per formula unit
E_form (uncorrected): -212.1 meV/atom

***

Entry 24:
VASP calculation (SCAN) on a crystal of RbAgHg2Sb relaxed with PBEsol.

Lattice parameters (Å, degrees): 5.975 5.975 5.825 90.00 90.00 90.00
Fractional coordinates of all 5 atoms:
1 Rb 0.000 0.000 0.000
2 Ag 0.000 0.000 0.500
3 Hg 0.000 0.500 0.000
4 Hg 0.500 0.000 0.000
5 Sb 0.500 0.500 0.500

Calculated values
E_form (uncorrected): 873.8 meV/atom

***

Entry 25:
VASP calculation (SCAN) on a crystal of NaY2ScMn relaxed with PBEsol.

Lattice parameters (Å, degrees): 5.377 5.377 4.764 90.00 90.00 90.00
Fractional coordinates of all 5 atoms:
1 Na 0.000 0.000 0.000
2 Y 0.000 0.500 0.000
3 Y 0.500 0.000 0.000
4 Sc 0.500 0.500 0.500
5 Mn 0.000 0.000 0.500

Calculated values
ΔH_f (0 K): 0.87 eV per atom

***

Entry 26:
VASP calculation (SCAN) on a crystal of TlAu relaxed with PBEsol.

Lattice parameters (Å, degrees): 5.601 5.601 5.426 107.21 107.21 32.68
Fractional coordinates of all 4 atoms:
1 Tl 0.100 0.100 0.314
2 Tl 0.900 0.900 0.686
3 Au 0.347 0.347 0.170
4 Au 0.653 0.653 0.830

Calculated values
ΔH_f (0 K): 0.04 eV per atom

***

Entry 27:
VASP calculation (SCAN) on a crystal of Al2InSe relaxed with PBEsol.

Lattice parameters (Å, degrees): 5.770 5.770 5.770 138.72 138.72 59.80
Fractional coordinates of all 4 atoms:
1 Al 0.000 0.000 0.000
2 Al 0.750 0.250 0.500
3 In 0.500 0.500 0.000
4 Se 0.250 0.750 0.500

Calculated values
ΔE to the lowest computed polymorph: 0.32 eV per formula unit
E_form (uncorrected): 129.4 meV/atom

***

Entry 28:
VASP calculation (SCAN) on a crystal of BaWCl relaxed with PBEsol.

Lattice parameters (Å, degrees): 5.171 5.171 5.171 60.00 60.00 60.00
Fractional coordinates of all 3 atoms:
1 Ba 0.000 0.000 0.000
2 W 0.500 0.500 0.500
3 Cl 0.250 0.250 0.250

Calculated values
ΔE to the lowest computed polymorph: 0.00 eV per formula unit
E_form (uncorrected): 978.7 meV/atom

***

Entry 29:
VASP calculation (SCAN) on a crystal of CaNiAs3 relaxed with PBEsol.

Lattice parameters (Å, degrees): 4.664 4.664 4.664 90.00 90.00 90.00
Fractional coordinates of all 5 atoms:
1 Ca 0.000 0.000 0.000
2 Ni 0.500 0.500 0.500
3 As 0.000 0.500 0.500
4 As 0.500 0.000 0.500
5 As 0.500 0.500 0.000

Calculated values
ΔH_f (0 K): -0.17 eV per atom